Compound: V2CoHAu
Source: Alexandria
Functional: PBE
Structure: optimized geometry

Values from the calculation:
* SG: No. 123
* excess energy over the best structure of this formula in the dataset: 0 meV/atom
* magnetic moment: 0.711 μB/cell
* electronic total energy: -0.4750 Ry per atom

```
V2CoHAu
1.0
3.803 0.000 0.000
0.000 3.803 0.000
0.000 0.000 3.884
Co Au H V
1 1 1 2
direct
0.000 0.000 0.500 Co
0.500 0.500 0.500 Au
0.000 0.000 0.000 H
0.000 0.500 0.000 V
0.500 0.000 0.000 V
```